[1]
RbAlGe3 | Alexandria | PBE | optimized geometry; energy relative to the elements = 1.765 eV per atom; excess energy over the best structure of this formula in the dataset = 1404.2 meV per atom
1.0
-5.1624 0.4179 -2.4169
-2.1554 -3.4607 4.0055
-1.1705 4.5294 3.2834
Ge Al Rb
3 1 1
Direct
0.0000 0.5000 0.0000 Ge
0.0000 0.0000 0.5000 Ge
0.5000 0.0000 0.0000 Ge
0.5000 0.5000 0.5000 Al
0.0000 0.0000 0.0000 Rb

[2]
LaCoSe2 | Alexandria | PBE | optimized geometry; excess energy over the best structure of this formula in the dataset = 143.2 meV per atom
1.0
3.6495 0.0000 0.0000
0.0000 3.8871 -0.2979
0.0000 0.4409 6.3479
Co La Se
1 1 2
Direct
0.5000 0.2500 0.2500 Co
0.5000 0.7500 0.7500 La
0.0000 0.2530 0.0108 Se
0.0000 0.2470 0.4892 Se

[3]
BeOsW2 | Alexandria | PBE | optimized geometry; energy relative to the elements = 0.191 eV per atom
1.0
-2.9640 3.0527 -2.4246
-4.6277 1.1222 -1.1438
-1.6252 3.2164 2.7368
Be Os W
1 1 2
Direct
0.4877 0.4877 0.4790 Be
0.7735 0.7735 0.7498 Os
0.0079 0.0079 0.9777 W
0.2309 0.2309 0.2935 W

Record order is preserved below.
Ρ: 2.94; 6.53; 16.81 g/cm3
Record order is preserved below.
Volume: 37.34; 22.63; 14.00 Å³/atom